1.
The following is a DFT calculation (SCAN) of TiBeSbO2 at its PBEsol-relaxed geometry.

Summary:
formation energy without anion corrections	-0.29	eV per atom

Lattice parameters (Å, degrees): 3.6263 3.6263 4.8780 90.00 90.00 90.00
Positions (direct):
Sb  0.5000  0.5000  0.5000
O  0.0000  0.5000  0.0000
O  0.5000  0.0000  0.0000
Be  0.0000  0.0000  0.0000
Ti  0.0000  0.0000  0.5000

***

2.
The following is a DFT calculation (SCAN) of CaCu3O at its PBEsol-relaxed geometry.

Summary:
formation energy without anion corrections	1.93	eV per atom

Lattice parameters (Å, degrees): 4.9449 4.9449 4.9449 90.00 90.00 90.00
Positions (direct):
O  0.5000  0.5000  0.5000
Ca  0.0000  0.0000  0.0000
Cu  0.0000  0.5000  0.0000
Cu  0.5000  0.0000  0.0000
Cu  0.0000  0.0000  0.5000

***

> Which of these has the lowest formation energy without anion corrections?

TiBeSbO2

***

> Look up the formation energy without anion corrections of the second one.

1.93 eV per atom

***

> Which value of formation energy without anion corrections does entry 1 give?

-0.29 eV per atom

***

> Which value of formation energy without anion corrections does entry 1 give?

-0.29 eV per atom